The following is a DFT calculation (PBE-GGA) of an optimized crystal structure of Nd6AgPd.

Geometry as POSCAR:
```
Nd6AgPd
1.0
5.0375 -0.0046 1.5147
-0.4619 5.0159 1.5153
-0.1212 -0.1338 9.5130
Nd Ag Pd
6 1 1
Direct
0.7504 0.7503 0.4992
0.6021 0.1019 0.7952
0.1019 0.6022 0.7952
0.3979 0.8981 0.2048
0.2496 0.2497 0.5008
0.8981 0.3978 0.2048
0.0000 0.0000 0.0000
0.5000 0.5000 0.0000
```

Properties
For the total energy, the calculation gives -38.33 eV/cell. The volume comes out at 30.299 A^3/atom.


The following is a DFT calculation (PBE-GGA) of an optimized crystal structure of Nd4AgPd.

Geometry as POSCAR:
```
Nd4AgPd
1.0
-4.0248 -5.3618 -4.7495
1.2793 -2.7110 7.6498
-4.6110 6.7803 0.5229
Nd Ag Pd
8 2 2
Direct
0.2626 0.9581 0.6955
0.7371 0.4381 0.7010
0.7081 0.5126 0.1955
0.1881 0.9871 0.2010
0.3171 0.5126 0.8045
0.7862 0.9871 0.7990
0.7371 0.0362 0.2990
0.2626 0.5671 0.3045
0.2490 0.2490 0.0000
0.9990 0.4990 0.5000
0.7515 0.7515 0.0000
0.5015 0.0015 0.5000
```

Properties
For the total energy, the calculation gives -54.91 eV/cell. The volume comes out at 35.446 A^3/atom.


The following is a DFT calculation (PBE-GGA) of an optimized crystal structure of Nd3Ag2Pd2.

Geometry as POSCAR:
```
Nd3Ag2Pd2
1.0
4.0542 0.0000 0.5380
0.0000 3.8399 0.0000
0.5851 0.0000 11.1351
Nd Ag Pd
3 2 2
Direct
0.8324 0.0000 0.3352
0.0000 0.0000 0.0000
0.1676 0.0000 0.6648
0.5758 0.5000 0.8484
0.4242 0.5000 0.1516
0.7084 0.5000 0.5831
0.2916 0.5000 0.4169
```

Properties
For the total energy, the calculation gives -33.95 eV/cell. The volume comes out at 24.591 A^3/atom.


The following is a DFT calculation (PBE-GGA) of an optimized crystal structure of Nd5Ag4Pd.

Geometry as POSCAR:
```
Nd5Ag4Pd
1.0
-2.9479 -2.2242 0.3078
-0.2209 -0.2182 -3.6926
11.4014 -15.0825 0.2092
Nd Ag Pd
5 4 1
Direct
0.5000 0.5000 0.0923
0.5000 0.5000 0.2965
0.5000 0.5000 0.5000
0.5000 0.5000 0.7035
0.5000 0.5000 0.9077
0.0000 0.0000 0.1959
0.0000 0.0000 0.3983
0.0000 0.0000 0.6017
0.0000 0.0000 0.8041
0.0000 0.0000 0.0000
```

Properties
For the total energy, the calculation gives -43.93 eV/cell. The volume comes out at 25.964 A^3/atom.


The following is a DFT calculation (PBE-GGA) of an optimized crystal structure of Nd4Ag2Pd.

Geometry as POSCAR:
```
Nd4Ag2Pd
1.0
4.9705 0.0000 1.5529
2.2427 4.4358 1.5529
-0.0949 -0.0584 9.0350
Nd Ag Pd
4 2 1
Direct
0.8772 0.8772 0.3683
0.1228 0.1228 0.6317
0.6270 0.6270 0.1189
0.3730 0.3730 0.8811
0.7542 0.7542 0.7373
0.2458 0.2458 0.2627
0.0000 0.0000 0.0000
```

Properties
For the total energy, the calculation gives -31.68 eV/cell. The volume comes out at 28.587 A^3/atom.


The following is a DFT calculation (PBE-GGA) of an optimized crystal structure of NdAg3Pd.

Geometry as POSCAR:
```
NdAg3Pd
1.0
-0.9037 -2.1270 -4.7771
-4.6549 -1.8816 1.7183
-1.3732 9.8177 -1.1639
Nd Ag Pd
2 6 2
Direct
0.5630 0.0630 0.1260
0.9370 0.4370 0.8740
0.6210 0.8732 0.7464
0.1268 0.8746 0.2536
0.1268 0.3790 0.2536
0.1254 0.8732 0.7464
0.3164 0.3164 0.6328
0.6836 0.6836 0.3672
0.0000 0.0000 0.0000
0.2500 0.7500 0.5000
```

Properties
For the total energy, the calculation gives -36.57 eV/cell. The volume comes out at 26.047 A^3/atom.


The following is a DFT calculation (PBE-GGA) of an optimized crystal structure of NdAg2Pd4.

Geometry as POSCAR:
```
NdAg2Pd4
1.0
1.3722 4.0135 3.3981
0.4017 -1.0700 5.4803
5.4045 0.8615 1.1788
Nd Ag Pd
1 2 4
Direct
0.0000 0.0000 0.0000
0.7504 0.5001 0.5001
0.2496 0.4999 0.4999
0.6975 0.6042 0.0005
0.3025 0.3958 0.9995
0.6975 0.0005 0.6042
0.3025 0.9995 0.3958
```

Properties
For the total energy, the calculation gives -33.96 eV/cell. The volume comes out at 18.513 A^3/atom.


The following is a DFT calculation (PBE-GGA) of an optimized crystal structure of NdAgPd3.

Geometry as POSCAR:
```
NdAgPd3
1.0
-2.8327 -2.3217 -5.5757
6.0448 -1.1844 -2.5613
-0.1764 -2.1474 6.3135
Nd Ag Pd
2 2 6
Direct
0.9960 0.7460 0.7500
0.0040 0.2540 0.2500
0.5000 0.5000 0.0000
0.5000 0.0000 0.5000
0.5000 0.3115 0.3115
0.0000 0.6885 0.1885
0.5000 0.6885 0.6885
0.0000 0.3115 0.8115
0.7016 0.9516 0.2500
0.2984 0.0484 0.7500
```

Properties
For the total energy, the calculation gives -50.75 eV/cell. The volume comes out at 19.786 A^3/atom.